# 1
# KMg2Rh, relaxed, DFT GGA-PBE
data_KMg2Rh
_chemical_formula_sum 'K2 Mg4 Rh2'
_cell_length_a 4.6140
_cell_length_b 4.6140
_cell_length_c 8.4224
_cell_angle_alpha 90.00
_cell_angle_beta 90.00
_cell_angle_gamma 90.00
_symmetry_space_group_name_H-M 'I -4 m 2'
_symmetry_Int_Tables_number 119
_symmetry_space_group_name_Hall 'I -4 -2'
loop_
_atom_site_label
_atom_site_type_symbol
_atom_site_fract_x
_atom_site_fract_y
_atom_site_fract_z
K1 K 0.0000 0.0000 0.0000
Mg1 Mg 0.0000 0.0000 0.5000
Mg2 Mg 0.0000 0.5000 0.7500
Rh1 Rh 0.0000 0.5000 0.2500
# E above lowest polymorph = 0.483 eV/atom
# ΔE_f = 0.364 eV per atom
# crystal system = tetragonal

# 2
# K4DyTh3Se8, relaxed, DFT GGA-PBE
data_K4DyTh3Se8
_chemical_formula_sum 'K12 Dy3 Th9 Se24'
_cell_length_a 8.4560
_cell_length_b 8.4560
_cell_length_c 23.4858
_cell_angle_alpha 90.00
_cell_angle_beta 90.00
_cell_angle_gamma 120.00
_symmetry_space_group_name_H-M 'R -3 m'
_symmetry_Int_Tables_number 166
_symmetry_space_group_name_Hall '-R 3 2"'
loop_
_atom_site_label
_atom_site_type_symbol
_atom_site_fract_x
_atom_site_fract_y
_atom_site_fract_z
K1 K 0.0000 0.0000 0.0000
K2 K 0.0000 0.5000 0.0000
Dy1 Dy 0.0000 0.0000 0.5000
Th1 Th 0.0000 0.5000 0.5000
Se1 Se 0.0000 0.0000 0.2400
Se2 Se 0.0056 0.5028 0.2378
# E_tot = -5.28 eV per atom
# crystal system = trigonal

# 3
# Sr2LiCd10, relaxed, DFT GGA-PBE
data_Sr2LiCd10
_chemical_formula_sum 'Sr4 Li2 Cd20'
_cell_length_a 10.9314
_cell_length_b 11.8651
_cell_length_c 6.1296
_cell_angle_alpha 90.00
_cell_angle_beta 90.00
_cell_angle_gamma 90.00
_symmetry_space_group_name_H-M 'P b a m'
_symmetry_Int_Tables_number 55
loop_
_symmetry_equiv_pos_as_xyz
'x,y,z'
'-x,-y,-z'
'-x,-y,z'
'x,y,-z'
'x+1/2,-y+1/2,-z'
'-x+1/2,y+1/2,z'
'-x+1/2,y+1/2,-z'
'x+1/2,-y+1/2,z'
loop_
_atom_site_label
_atom_site_type_symbol
_atom_site_fract_x
_atom_site_fract_y
_atom_site_fract_z
Sr1 Sr 0.1384 0.1253 0.0000
Li1 Li 0.0000 0.5000 0.5000
Cd1 Cd 0.0420 0.8889 0.5000
Cd2 Cd 0.0785 0.6865 0.2335
Cd3 Cd 0.1780 0.3033 0.5000
Cd4 Cd 0.2499 0.0444 0.5000
# ΔE_f = -0.051 eV per atom
# crystal system = orthorhombic